No. 1
# Pm2TmAl12Fe3

Crystalline Pm2TmAl12Fe3 at its relaxed geometry (PBE-GGA, the Alexandria database).

Properties
Its crystal system is trigonal. The formation enthalpy at 0 K comes out at 0.1495 eV per atom. As for the uncorrected energy: -81.58 eV/f.u.

a = 8.5440 Å, b = 8.5440 Å, c = 18.5758 Å
α = 90.00°, β = 90.00°, γ = 120.00°
Space group R-3m (No. 166, hexagonal axes)
Inequivalent atoms, fractional coordinates:
Pm (0.0000, 0.0000, 0.0826) x6
Tm (0.0000, 0.0000, 0.5000) x3
Al (0.0869, 0.5434, 0.8817) x18
Al (0.0966, 0.5483, 0.3204) x18
Fe (0.0000, 0.5000, 0.0000) x9

---

No. 2
# TbY3

Crystalline TbY3 at its relaxed geometry (PBE-GGA, the Alexandria database).

Properties
Its crystal system is orthorhombic. The formation enthalpy at 0 K comes out at 0.0024 eV per atom. As for the uncorrected energy: -24.01 eV/f.u.

a = 3.6497 Å, b = 11.3354 Å, c = 6.3112 Å
α = 90.00°, β = 90.00°, γ = 90.00°
Space group Imm2 (No. 44)
Inequivalent atoms, fractional coordinates:
Tb (0.0000, 0.0000, 0.0000) x2
Y (0.0000, 0.2507, 0.3324) x4
Y (0.0000, 0.5000, 0.9993) x2

---

No. 3
# Sc2MoC2

Crystalline Sc2MoC2 at its relaxed geometry (PBE-GGA, the Alexandria database).

Properties
Its crystal system is orthorhombic. The formation enthalpy at 0 K comes out at -0.4045 eV per atom. As for the uncorrected energy: -43.96 eV/f.u.

a = 6.3094 Å, b = 4.7380 Å, c = 9.4870 Å
α = 90.00°, β = 90.00°, γ = 90.00°
Space group Pnma (No. 62)
Inequivalent atoms, fractional coordinates:
Sc (0.0654, 0.2500, 0.2275) x4
Sc (0.1542, 0.2500, 0.5693) x4
Mo (0.1792, 0.2500, 0.8881) x4
C (0.0912, 0.7500, 0.2464) x4
C (0.1587, 0.7500, 0.5677) x4

---

No. 4
# YZrCu2

Crystalline YZrCu2 at its relaxed geometry (PBE-GGA, the Alexandria database).

Properties
Its crystal system is monoclinic. The formation enthalpy at 0 K comes out at -0.1355 eV per atom. As for the uncorrected energy: -23.75 eV/f.u.

a = 3.5039 Å, b = 4.3595 Å, c = 5.2285 Å
α = 90.00°, β = 101.23°, γ = 90.00°
Space group Pm (No. 6)
Inequivalent atoms, fractional coordinates:
Y (0.0000, 0.0000, 0.0000) x1
Zr (0.7771, 0.5000, 0.4371) x1
Cu (0.3465, 0.0000, 0.5497) x1
Cu (0.4434, 0.5000, 0.8528) x1

---

No. 5
# Pm2GdTl

Crystalline Pm2GdTl at its relaxed geometry (PBE-GGA, the Alexandria database).

Properties
Its crystal system is tetragonal. The formation enthalpy at 0 K comes out at -0.1541 eV per atom. As for the uncorrected energy: -26.56 eV/f.u.

a = 3.6969 Å, b = 3.6969 Å, c = 9.2563 Å
α = 90.00°, β = 90.00°, γ = 90.00°
Space group P4/mmm (No. 123)
Inequivalent atoms, fractional coordinates:
Pm (0.0000, 0.0000, 0.2286) x2
Gd (0.5000, 0.5000, 0.5000) x1
Tl (0.5000, 0.5000, 0.0000) x1

---

No. 6
# WSeCl3

Crystalline WSeCl3 at its relaxed geometry (PBE-GGA, the Alexandria database).

Properties
Its crystal system is orthorhombic. As for the uncorrected energy: -24.83 eV/f.u. The value obtained for the formation energy from raw total energies is -0.571 eV per atom.

a = 7.7121 Å, b = 11.6739 Å, c = 6.5038 Å
α = 90.00°, β = 90.00°, γ = 90.00°
Space group Cmcm (No. 63)
Inequivalent atoms, fractional coordinates:
W (0.0000, 0.0121, 0.2500) x4
Se (0.0000, 0.2054, 0.2500) x4
Cl (0.0000, 0.1986, 0.7500) x4
Cl (0.2378, 0.0000, 0.0000) x8

---

No. 7
# NdMg4Cu

Crystalline NdMg4Cu at its relaxed geometry (PBE-GGA, the Alexandria database).

Properties
Its crystal system is orthorhombic. The formation enthalpy at 0 K comes out at -0.1257 eV per atom. As for the uncorrected energy: -16.00 eV/f.u.

a = 8.5563 Å, b = 4.3223 Å, c = 7.4458 Å
α = 90.00°, β = 90.00°, γ = 90.00°
Space group Pmma (No. 51)
Inequivalent atoms, fractional coordinates:
Nd (0.2500, 0.0000, 0.0992) x2
Mg (0.0000, 0.0000, 0.5000) x2
Mg (0.0624, 0.5000, 0.8034) x4
Mg (0.2500, 0.5000, 0.4473) x2
Cu (0.2500, 0.0000, 0.7012) x2

---

No. 8
# V3Cr3Mo

Crystalline V3Cr3Mo at its relaxed geometry (PBE-GGA, the Alexandria database).

Properties
Its crystal system is orthorhombic. The formation enthalpy at 0 K comes out at 0.3205 eV per atom. As for the uncorrected energy: -64.81 eV/f.u.

a = 8.0066 Å, b = 8.4103 Å, c = 5.6942 Å
α = 90.00°, β = 90.00°, γ = 90.00°
Space group Cmmm (No. 65)
Inequivalent atoms, fractional coordinates:
V (0.0000, 0.0000, 0.2449) x4
V (0.2500, 0.2500, 0.2459) x8
Cr (0.0000, 0.2325, 0.5000) x4
Cr (0.0000, 0.2864, 0.0000) x4
Cr (0.2408, 0.0000, 0.0000) x4
Mo (0.1927, 0.5000, 0.5000) x4